# PuHgRhO6

A relaxed PuHgRhO6 crystal (PBE, the Alexandria database).

POSCAR file:
```
PuHgRhO6
1.0
5.264 0.000 0.000
-2.632 4.559 0.000
0.000 0.000 10.438
Hg O Rh Pu
2 12 2 2
Direct
0.000 0.000 0.500 Hg
0.000 0.000 0.000 Hg
0.645 0.002 0.859 O
0.002 0.645 0.359 O
0.643 0.645 0.141 O
0.357 0.002 0.641 O
0.645 0.643 0.641 O
0.355 0.357 0.359 O
0.998 0.643 0.859 O
0.357 0.355 0.859 O
0.998 0.355 0.641 O
0.002 0.357 0.141 O
0.643 0.998 0.359 O
0.355 0.998 0.141 O
0.667 0.333 0.750 Rh
0.333 0.667 0.250 Rh
0.333 0.667 0.750 Pu
0.667 0.333 0.250 Pu
```

## Properties
* V: 125.23 Å³/f.u.
* crystal system: trigonal
* raw formation energy: -1.3801 eV per atom
* M_tot: 1.9 Bohr magnetons per cell
* symmetry: P-31c
* DFT total energy: -7.128 eV/atom